ScCu2Hg, relaxed, DFT PBE; DOS at the Fermi energy = 2.9 states/eV/f.u.; ΔE_f = 0.32 eV per atom; calculated density = 8.11 g/cm3; uncorrected energy = -3.385 eV/atom; magnetic moment = 0.00 μB/f.u.
1.0
-1.471 2.429 5.337
1.471 -2.429 5.337
1.471 2.429 -5.337
Sc Cu Hg
1 2 1
Cartesian
0.000 0.000 0.000
0.000 0.000 2.701
0.000 0.000 7.973
0.000 0.000 5.337



ScCu2Hg2, relaxed, DFT PBE; energy above the most stable polymorph in this dataset = 14 meV/atom; DOS at the Fermi energy = 3.4 states/eV/f.u.; ΔE_f = 0.00 eV per atom; calculated density = 10.04 g/cm3; uncorrected energy = -3.022 eV/atom; magnetic moment = 0.00 μB/f.u.
1.0
-1.861 1.861 6.848
1.861 -1.861 6.848
1.861 1.861 -6.848
Sc Cu Hg
1 2 2
Cartesian
0.000 0.000 0.000
1.861 0.000 3.424
0.000 1.861 3.424
0.000 0.000 5.361
0.000 0.000 8.334



ScCuHg2, relaxed, DFT PBE; DOS at the Fermi energy = 3.0 states/eV/f.u.; ΔE_f = -0.11 eV per atom; calculated density = 10.64 g/cm3; uncorrected energy = -2.865 eV/atom; magnetic moment = 0.00 μB/f.u.
1.0
4.337 0.000 0.000
0.000 4.337 0.000
0.000 0.000 4.229
Sc Cu Hg
1 1 2
Cartesian
0.000 0.000 0.000
2.168 2.168 0.000
0.000 2.168 2.115
2.168 0.000 2.115



Sc6Cu5Hg, relaxed, DFT PBE; DOS at the Fermi energy = 8.1 states/eV/f.u.; ΔE_f = -0.29 eV per atom; calculated density = 6.02 g/cm3; uncorrected energy = -5.184 eV/atom; magnetic moment = 0.00 μB/f.u.
1.0
4.700 0.000 0.000
0.000 6.590 0.000
-2.341 0.000 7.019
Sc Cu Hg
6 5 1
Cartesian
0.000 1.564 0.000
0.000 5.027 0.000
0.009 1.604 4.606
0.009 4.987 4.606
2.351 1.604 2.413
2.351 4.987 2.413
-0.004 0.000 2.298
-0.009 3.295 2.326
2.350 0.000 0.000
2.368 3.295 4.693
2.363 0.000 4.721
2.350 3.295 0.000



Sc2CuHg4, relaxed, DFT PBE; DOS at the Fermi energy = 3.4 states/eV/f.u.; ΔE_f = -0.16 eV per atom; calculated density = 10.60 g/cm3; uncorrected energy = -2.725 eV/atom; magnetic moment = 0.00 μB/f.u.
1.0
4.955 0.000 0.000
-2.458 4.314 0.000
-0.278 -2.686 7.003
Sc Cu Hg
2 1 4
Cartesian
-0.011 1.458 1.258
2.231 0.170 5.745
2.478 0.000 0.000
-0.248 -1.273 5.420
-0.204 1.582 4.271
2.424 0.046 2.732
2.468 2.901 1.583



ScCu2Hg, relaxed, DFT PBE; DOS at the Fermi energy = 2.8 states/eV/f.u.; ΔE_f = -0.06 eV per atom; calculated density = 8.99 g/cm3; uncorrected energy = -3.765 eV/atom; magnetic moment = 0.00 μB/f.u.
1.0
2.989 -2.996 0.000
2.989 2.996 0.000
0.000 0.000 3.842
Sc Cu Hg
1 2 1
Cartesian
0.000 0.000 0.000
1.495 1.498 1.921
1.495 -1.498 1.921
2.989 0.000 0.000



Sc3CuHg2, relaxed, DFT PBE; energy above the most stable polymorph in this dataset = 9 meV/atom; DOS at the Fermi energy = 3.6 states/eV/f.u.; ΔE_f = -0.36 eV per atom; calculated density = 8.09 g/cm3; uncorrected energy = -4.305 eV/atom; magnetic moment = 0.00 μB/f.u.
1.0
4.874 0.000 0.000
-2.437 4.221 0.000
0.000 0.000 11.967
Sc Cu Hg
6 2 4
Cartesian
0.000 0.000 2.895
0.000 0.000 9.072
0.000 2.814 4.892
0.000 2.814 11.002
2.437 1.407 0.965
2.437 1.407 7.074
0.000 2.814 1.989
2.437 1.407 9.977
0.000 0.000 0.000
0.000 0.000 5.983
0.000 2.814 8.060
2.437 1.407 3.906



ScCu2Hg, relaxed, DFT PBE; DOS at the Fermi energy = 2.0 states/eV/f.u.; ΔE_f = -0.13 eV per atom; calculated density = 9.20 g/cm3; uncorrected energy = -3.841 eV/atom; magnetic moment = 0.00 μB/f.u.
1.0
-2.099 2.099 3.816
2.099 -2.099 3.816
2.099 2.099 -3.816
Sc Cu Hg
1 2 1
Cartesian
0.000 0.000 0.000
2.099 0.000 1.908
0.000 0.000 3.816
0.000 2.099 1.908



Sc2CuHg2, relaxed, DFT PBE; energy above the most stable polymorph in this dataset = 491 meV/atom; DOS at the Fermi energy = 3.6 states/eV/f.u.; ΔE_f = 0.29 eV per atom; calculated density = 7.89 g/cm3; uncorrected energy = -3.187 eV/atom; magnetic moment = 0.79 μB/f.u.
1.0
-2.059 2.059 6.879
2.059 -2.059 6.879
2.059 2.059 -6.879
Sc Cu Hg
2 1 2
Cartesian
2.059 0.000 3.440
0.000 2.059 3.440
0.000 0.000 0.000
0.000 0.000 5.525
0.000 0.000 8.233



ScCuHg2, relaxed, DFT PBE; DOS at the Fermi energy = 3.0 states/eV/f.u.; ΔE_f = -0.13 eV per atom; calculated density = 10.98 g/cm3; uncorrected energy = -2.891 eV/atom; magnetic moment = 0.35 μB/f.u.
1.0
3.325 0.000 0.000
0.000 3.307 0.000
-0.018 0.000 7.009
Sc Cu Hg
1 1 2
Cartesian
0.000 0.000 0.000
-0.009 0.000 3.505
1.646 1.654 5.082
1.660 1.654 1.927



Sc4Cu3Hg, relaxed, DFT PBE; DOS at the Fermi energy = 6.6 states/eV/f.u.; ΔE_f = -0.29 eV per atom; calculated density = 6.40 g/cm3; uncorrected energy = -5.032 eV/atom; magnetic moment = 0.00 μB/f.u.
1.0
2.358 1.361 7.697
-2.358 1.361 7.697
0.000 -2.722 7.697
Sc Cu Hg
4 3 1
Cartesian
0.000 0.000 2.754
0.000 0.000 8.550
0.000 0.000 14.540
0.000 0.000 20.337
0.000 0.000 0.000
0.000 0.000 5.760
0.000 0.000 17.331
0.000 0.000 11.545



Sc2CuHg, relaxed, DFT PBE; DOS at the Fermi energy = 3.8 states/eV/f.u.; ΔE_f = -0.11 eV per atom; calculated density = 6.82 g/cm3; uncorrected energy = -4.376 eV/atom; magnetic moment = 0.00 μB/f.u.
1.0
4.151 -1.714 0.000
4.151 1.714 0.000
-1.421 0.000 6.061
Sc Cu Hg
2 1 1
Cartesian
1.679 0.000 1.345
5.201 0.000 4.717
4.151 0.000 0.000
-0.711 0.000 3.031



Sc2CuHg, relaxed, DFT PBE; DOS at the Fermi energy = 4.6 states/eV/f.u.; ΔE_f = -0.14 eV per atom; calculated density = 7.51 g/cm3; uncorrected energy = -4.406 eV/atom; magnetic moment = 0.00 μB/f.u.
1.0
-2.076 2.076 4.540
2.076 -2.076 4.540
2.076 2.076 -4.540
Sc Cu Hg
2 1 1
Cartesian
0.000 0.000 0.000
0.000 2.076 2.270
2.076 0.000 2.270
0.000 0.000 4.540



ScCu3Hg, relaxed, DFT PBE; energy above the most stable polymorph in this dataset = 316 meV/atom; DOS at the Fermi energy = 2.1 states/eV/f.u.; ΔE_f = 0.99 eV per atom; calculated density = 6.18 g/cm3; uncorrected energy = -2.791 eV/atom; magnetic moment = 0.00 μB/f.u.
1.0
4.894 0.000 0.000
0.000 4.894 0.000
0.000 0.000 4.894
Sc Cu Hg
1 3 1
Cartesian
0.000 0.000 0.000
0.000 0.000 2.447
0.000 2.447 0.000
2.447 0.000 0.000
2.447 2.447 2.447



Sc2CuHg, relaxed, DFT PBE; DOS at the Fermi energy = 5.3 states/eV/f.u.; ΔE_f = 0.27 eV per atom; calculated density = 6.64 g/cm3; uncorrected energy = -3.991 eV/atom; magnetic moment = 0.00 μB/f.u.
1.0
1.581 0.913 10.226
-1.581 0.913 10.226
0.000 -1.826 10.226
Sc Cu Hg
2 1 1
Cartesian
0.000 0.000 2.662
0.000 0.000 28.016
0.000 0.000 0.000
0.000 0.000 15.339



Sc4CuHg, relaxed, DFT PBE; energy above the most stable polymorph in this dataset = 0 meV/atom; DOS at the Fermi energy = 7.0 states/eV/f.u.; ΔE_f = 0.00 eV per atom; calculated density = 5.14 g/cm3; uncorrected energy = -4.953 eV/atom; magnetic moment = 0.00 μB/f.u.
1.0
4.596 0.000 0.000
0.000 4.596 0.000
0.000 0.000 6.796
Sc Cu Hg
4 1 1
Cartesian
0.000 2.298 1.563
0.000 2.298 5.234
2.298 0.000 1.563
2.298 0.000 5.234
0.000 0.000 0.000
2.298 2.298 3.398



Sc5CuHg4, relaxed, DFT PBE; DOS at the Fermi energy = 9.4 states/eV/f.u.; ΔE_f = -0.39 eV per atom; calculated density = 8.60 g/cm3; uncorrected energy = -4.084 eV/atom; magnetic moment = 0.01 μB/f.u.
1.0
3.452 0.000 0.000
0.000 3.452 0.000
0.000 0.000 17.679
Sc Cu Hg
5 1 4
Cartesian
0.000 0.000 0.000
0.000 0.000 3.637
0.000 0.000 7.305
0.000 0.000 10.374
0.000 0.000 14.042
1.726 1.726 8.840
1.726 1.726 1.810
1.726 1.726 5.468
1.726 1.726 12.211
1.726 1.726 15.870



ScCuHg2, relaxed, DFT PBE; DOS at the Fermi energy = 1.6 states/eV/f.u.; ΔE_f = -0.12 eV per atom; calculated density = 10.61 g/cm3; uncorrected energy = -2.881 eV/atom; magnetic moment = 0.00 μB/f.u.
1.0
3.329 0.000 0.000
0.000 3.329 0.000
0.000 0.000 7.199
Sc Cu Hg
1 1 2
Cartesian
0.000 0.000 0.000
1.665 1.665 1.535
0.000 0.000 3.104
1.665 1.665 5.292



ScCu2Hg, relaxed, DFT PBE; DOS at the Fermi energy = 2.1 states/eV/f.u.; ΔE_f = 0.12 eV per atom; calculated density = 8.13 g/cm3; uncorrected energy = -3.585 eV/atom; magnetic moment = 0.00 μB/f.u.
1.0
1.709 0.987 7.520
-1.709 0.987 7.520
0.000 -1.973 7.520
Sc Cu Hg
1 2 1
Cartesian
0.000 0.000 0.000
0.000 0.000 5.646
0.000 0.000 16.915
0.000 0.000 11.281



ScCu3Hg, relaxed, DFT PBE; energy above the most stable polymorph in this dataset = 0 meV/atom; DOS at the Fermi energy = 4.2 states/eV/f.u.; ΔE_f = 0.68 eV per atom; calculated density = 6.67 g/cm3; uncorrected energy = -3.107 eV/atom; magnetic moment = 0.00 μB/f.u.
1.0
4.771 0.000 0.000
0.000 4.771 0.000
0.000 0.000 4.771
Sc Cu Hg
1 3 1
Cartesian
0.000 0.000 0.000
0.000 2.385 2.385
2.385 0.000 2.385
2.385 2.385 0.000
2.385 2.385 2.385



Sc11Cu4Hg9, relaxed, DFT PBE; DOS at the Fermi energy = 16.4 states/eV/f.u.; ΔE_f = -0.38 eV per atom; calculated density = 8.70 g/cm3; uncorrected energy = -4.073 eV/atom; magnetic moment = 0.00 μB/f.u.
1.0
6.873 -10.270 0.000
6.873 10.270 0.000
0.000 0.000 3.452
Sc Cu Hg
11 4 9
Cartesian
0.000 0.000 0.000
3.379 3.483 0.000
6.873 6.884 0.000
4.105 0.000 0.000
6.873 2.726 0.000
3.379 -3.483 0.000
10.366 3.483 0.000
6.873 -2.726 0.000
9.640 0.000 0.000
6.873 -6.884 0.000
10.366 -3.483 0.000
4.845 2.013 1.726
4.845 -2.013 1.726
8.900 2.013 1.726
8.900 -2.013 1.726
1.945 1.541 1.726
5.362 4.890 1.726
1.945 -1.541 1.726
8.383 4.890 1.726
6.873 0.000 1.726
5.362 -4.890 1.726
11.800 1.541 1.726
8.383 -4.890 1.726
11.800 -1.541 1.726



Sc2CuHg, relaxed, DFT PBE; DOS at the Fermi energy = 3.6 states/eV/f.u.; ΔE_f = 0.43 eV per atom; calculated density = 6.76 g/cm3; uncorrected energy = -3.832 eV/atom; magnetic moment = 0.00 μB/f.u.
1.0
-1.520 2.444 5.857
1.520 -2.444 5.857
1.520 2.444 -5.857
Sc Cu Hg
2 1 1
Cartesian
0.000 0.000 2.601
0.000 0.000 9.113
0.000 0.000 0.000
0.000 0.000 5.857



Sc2CuHg, relaxed, DFT PBE; DOS at the Fermi energy = 4.9 states/eV/f.u.; ΔE_f = -0.06 eV per atom; calculated density = 7.76 g/cm3; uncorrected energy = -4.328 eV/atom; magnetic moment = 0.92 μB/f.u.
1.0
0.000 3.358 3.358
3.358 0.000 3.358
3.358 3.358 0.000
Sc Cu Hg
2 1 1
Cartesian
0.000 0.000 0.000
1.679 1.679 1.679
3.358 3.358 3.358
5.038 5.038 5.038



Sc4CuHg, relaxed, DFT PBE; energy above the most stable polymorph in this dataset = 359 meV/atom; DOS at the Fermi energy = 6.2 states/eV/f.u.; ΔE_f = 0.36 eV per atom; calculated density = 5.54 g/cm3; uncorrected energy = -4.593 eV/atom; magnetic moment = 0.00 μB/f.u.
1.0
0.000 4.052 4.052
4.052 0.000 4.052
4.052 4.052 0.000
Sc Cu Hg
4 1 1
Cartesian
1.014 1.014 1.014
3.038 3.038 1.014
3.038 1.014 3.038
1.014 3.038 3.038
6.078 6.078 6.078
4.052 4.052 4.052



ScCu2Hg, relaxed, DFT PBE; DOS at the Fermi energy = 3.7 states/eV/f.u.; ΔE_f = 0.20 eV per atom; calculated density = 8.22 g/cm3; uncorrected energy = -3.504 eV/atom; magnetic moment = 0.00 μB/f.u.
1.0
-3.665 3.665 2.804
3.665 -3.665 2.804
3.665 3.665 -2.804
Sc Cu Hg
2 4 2
Cartesian
0.000 0.000 0.000
0.000 3.665 1.402
1.832 -1.783 2.103
1.881 1.832 0.701
1.832 5.448 -0.701
1.783 1.832 3.505
3.665 0.000 1.402
0.000 0.000 2.804



Sc2CuHg, relaxed, DFT PBE; DOS at the Fermi energy = 4.4 states/eV/f.u.; ΔE_f = -0.20 eV per atom; calculated density = 7.36 g/cm3; uncorrected energy = -4.466 eV/atom; magnetic moment = 0.32 μB/f.u.
1.0
-1.653 2.386 5.065
1.653 -2.386 5.065
1.653 2.386 -5.065
Sc Cu Hg
2 1 1
Cartesian
0.000 0.000 0.000
0.000 2.386 2.180
1.653 0.000 2.262
0.000 0.000 4.450



Sc2CuHg, relaxed, DFT PBE; DOS at the Fermi energy = 5.2 states/eV/f.u.; ΔE_f = 0.24 eV per atom; calculated density = 6.31 g/cm3; uncorrected energy = -4.026 eV/atom; magnetic moment = 0.94 μB/f.u.
1.0
-1.780 1.780 7.357
1.780 -1.780 7.357
1.780 1.780 -7.357
Sc Cu Hg
2 1 1
Cartesian
0.000 0.000 2.650
0.000 0.000 12.065
0.000 0.000 0.000
0.000 0.000 7.357